# PBE ScAlCo2, relaxed
data_ScAlCo2
_chemical_formula_sum 'Sc1 Al1 Co2'
_cell_length_a 4.1559
_cell_length_b 4.1559
_cell_length_c 3.0500
_cell_angle_alpha 90.00
_cell_angle_beta 90.00
_cell_angle_gamma 90.00
_symmetry_space_group_name_H-M 'P 4/m m m'
_symmetry_Int_Tables_number 123
_symmetry_space_group_name_Hall '-P 4 2'
loop_
_atom_site_label
_atom_site_type_symbol
_atom_site_fract_x
_atom_site_fract_y
_atom_site_fract_z
Sc1 Sc 0.0000 0.0000 0.0000
Al1 Al 0.5000 0.5000 0.0000
Co1 Co 0.0000 0.5000 0.5000
# Uncorrected energy in eV per atom: -6.536

---

# PBE ScAlCo2, relaxed
data_ScAlCo2
_chemical_formula_sum 'Sc4 Al4 Co8'
_cell_length_a 6.0388
_cell_length_b 6.0388
_cell_length_c 6.0388
_cell_angle_alpha 90.00
_cell_angle_beta 90.00
_cell_angle_gamma 90.00
_symmetry_space_group_name_H-M 'F -4 3 m'
_symmetry_Int_Tables_number 216
_symmetry_space_group_name_Hall 'F -4 2 3'
loop_
_atom_site_label
_atom_site_type_symbol
_atom_site_fract_x
_atom_site_fract_y
_atom_site_fract_z
Sc1 Sc 0.0000 0.0000 0.0000
Al1 Al 0.2500 0.2500 0.7500
Co1 Co 0.0000 0.0000 0.5000
Co2 Co 0.2500 0.2500 0.2500
# Uncorrected energy in eV per atom: -6.183

---

# PBE YScAl4Co2, relaxed
data_YScAl4Co2
_chemical_formula_sum 'Y2 Sc2 Al8 Co4'
_cell_length_a 6.9642
_cell_length_b 4.0093
_cell_length_c 9.6829
_cell_angle_alpha 90.00
_cell_angle_beta 90.00
_cell_angle_gamma 90.00
_symmetry_space_group_name_H-M 'A m m 2'
_symmetry_Int_Tables_number 38
_symmetry_space_group_name_Hall 'A 2 -2'
loop_
_atom_site_label
_atom_site_type_symbol
_atom_site_fract_x
_atom_site_fract_y
_atom_site_fract_z
Y1 Y 0.0000 0.0000 0.0000
Sc1 Sc 0.5000 0.0000 0.1228
Al1 Al 0.2012 0.0000 0.7170
Al2 Al 0.3095 0.0000 0.4061
Co1 Co 0.0000 0.0000 0.2797
Co2 Co 0.5000 0.0000 0.8496
# Uncorrected energy in eV per atom: -5.787

---

Q: Which value of uncorrected energy does entry 3 give?
A: -5.787 eV per atom